# Ba3Cu3Si2 PBE relaxed
# Crystal system = orthorhombic
# Uncorrected energy = -3.7981 eV per atom
# DOS(E_F) = 17.958 states/eV per cell
# Raw formation energy = -17.9 kJ per mole of atoms
# M_tot = 0.000 μB/f.u.
data_Ba3Cu3Si2
_symmetry_space_group_name_H-M 'P n m a'
_symmetry_Int_Tables_number 62
_cell_length_a 7.8714
_cell_length_b 16.4722
_cell_length_c 6.5472
_cell_angle_alpha 90.00
_cell_angle_beta 90.00
_cell_angle_gamma 90.00
loop_
_symmetry_equiv_pos_as_xyz
'x,y,z'
'-x,-y,-z'
'-x+1/2,-y,z+1/2'
'x+1/2,y,-z+1/2'
'x+1/2,-y+1/2,-z+1/2'
'-x+1/2,y+1/2,z+1/2'
'-x,y+1/2,-z'
'x,-y+1/2,z'
loop_
_atom_site_label
_atom_site_type_symbol
_atom_site_fract_x
_atom_site_fract_y
_atom_site_fract_z
Ba1 Ba 0.0023 0.1048 0.1293
Ba2 Ba 0.1096 0.7500 0.3514
Cu1 Cu 0.1336 0.5333 0.3984
Cu2 Cu 0.2282 0.2500 0.3628
Si1 Si 0.1592 0.0741 0.6519

=====

# BaCu2Si PBE relaxed
# Crystal system = orthorhombic
# Uncorrected energy = -4.0575 eV per atom
# DOS(E_F) = 6.958 states/eV per cell
# Raw formation energy = -16.7 kJ per mole of atoms
# M_tot = 0.000 μB/f.u.
data_BaCu2Si
_symmetry_space_group_name_H-M 'P n m a'
_symmetry_Int_Tables_number 62
_cell_length_a 7.8043
_cell_length_b 4.3360
_cell_length_c 10.9037
_cell_angle_alpha 90.00
_cell_angle_beta 90.00
_cell_angle_gamma 90.00
loop_
_symmetry_equiv_pos_as_xyz
'x,y,z'
'-x,-y,-z'
'-x+1/2,-y,z+1/2'
'x+1/2,y,-z+1/2'
'x+1/2,-y+1/2,-z+1/2'
'-x+1/2,y+1/2,z+1/2'
'-x,y+1/2,-z'
'x,-y+1/2,z'
loop_
_atom_site_label
_atom_site_type_symbol
_atom_site_fract_x
_atom_site_fract_y
_atom_site_fract_z
Ba1 Ba 0.1721 0.2500 0.1245
Cu1 Cu 0.0675 0.2500 0.4459
Cu2 Cu 0.1612 0.2500 0.8082
Si1 Si 0.0448 0.7500 0.3476

=====

# BaCu4Si4 PBE relaxed
# Crystal system = tetragonal
# Uncorrected energy = -4.5197 eV per atom
# DOS(E_F) = 9.118 states/eV per cell
# Raw formation energy = -7.3 kJ per mole of atoms
# M_tot = 0.000 μB/f.u.
data_BaCu4Si4
_symmetry_space_group_name_H-M 'P 42/n m c'
_symmetry_Int_Tables_number 137
_cell_length_a 5.9831
_cell_length_b 5.9831
_cell_length_c 8.3749
_cell_angle_alpha 90.00
_cell_angle_beta 90.00
_cell_angle_gamma 90.00
loop_
_symmetry_equiv_pos_as_xyz
'x,y,z'
'-x,-y,-z'
'-y+1/2,x,z+1/2'
'y+1/2,-x,-z+1/2'
'-x+1/2,-y+1/2,z'
'x+1/2,y+1/2,-z'
'y,-x+1/2,z+1/2'
'-y,x+1/2,-z+1/2'
'x+1/2,-y,-z'
'-x+1/2,y,z'
'-y,-x,-z+1/2'
'y,x,z+1/2'
'-x,y+1/2,-z'
'x,-y+1/2,z'
'y+1/2,x+1/2,-z+1/2'
'-y+1/2,-x+1/2,z+1/2'
loop_
_atom_site_label
_atom_site_type_symbol
_atom_site_fract_x
_atom_site_fract_y
_atom_site_fract_z
Ba1 Ba 0.2500 0.7500 0.2500
Cu1 Cu 0.0355 0.2500 0.0822
Si1 Si 0.0385 0.2500 0.3730

=====

# BaCu2Si PBE relaxed
# Crystal system = tetragonal
# Uncorrected energy = -3.4623 eV per atom
# DOS(E_F) = 4.842 states/eV per cell
# Raw formation energy = 40.7 kJ per mole of atoms
# M_tot = 0.000 μB/f.u.
data_BaCu2Si
_symmetry_space_group_name_H-M 'I -4 m 2'
_symmetry_Int_Tables_number 119
_symmetry_space_group_name_Hall 'I -4 -2'
_cell_length_a 4.9425
_cell_length_b 4.9425
_cell_length_c 7.0113
_cell_angle_alpha 90.00
_cell_angle_beta 90.00
_cell_angle_gamma 90.00
loop_
_atom_site_label
_atom_site_type_symbol
_atom_site_fract_x
_atom_site_fract_y
_atom_site_fract_z
Ba1 Ba 0.0000 0.0000 0.0000
Cu1 Cu 0.0000 0.0000 0.5000
Cu2 Cu 0.0000 0.5000 0.7500
Si1 Si 0.0000 0.5000 0.2500

=====

Repeat the fourth record exactly.
# BaCu2Si PBE relaxed
# Crystal system = tetragonal
# Uncorrected energy = -3.4623 eV per atom
# DOS(E_F) = 4.842 states/eV per cell
# Raw formation energy = 40.7 kJ per mole of atoms
# M_tot = 0.000 μB/f.u.
data_BaCu2Si
_symmetry_space_group_name_H-M 'I -4 m 2'
_symmetry_Int_Tables_number 119
_symmetry_space_group_name_Hall 'I -4 -2'
_cell_length_a 4.9425
_cell_length_b 4.9425
_cell_length_c 7.0113
_cell_angle_alpha 90.00
_cell_angle_beta 90.00
_cell_angle_gamma 90.00
loop_
_atom_site_label
_atom_site_type_symbol
_atom_site_fract_x
_atom_site_fract_y
_atom_site_fract_z
Ba1 Ba 0.0000 0.0000 0.0000
Cu1 Cu 0.0000 0.0000 0.5000
Cu2 Cu 0.0000 0.5000 0.7500
Si1 Si 0.0000 0.5000 0.2500